# 1
Here is a relaxed UTl3Pd2S6 crystal from Alexandria. Energies are from GGA-PBE.

Lattice parameters (Å, degrees): 6.263 6.263 8.230 97.31 97.31 120.02
Element x y z (fractional)
U  0.000  0.000  0.000
Tl  0.166  0.834  0.500
Tl  0.500  0.500  0.500
Tl  0.834  0.166  0.500
Pd  0.334  0.666  0.000
Pd  0.666  0.334  0.000
S  0.061  0.403  0.184
S  0.280  0.280  0.815
S  0.403  0.061  0.184
S  0.597  0.939  0.816
S  0.720  0.720  0.185
S  0.939  0.597  0.816

Calculated values
energy: -5.023 eV/atom
D(E_F): 0.778 states/eV/atom
raw formation energy: -562 meV per atom
symmetry: C2/m (12)

# 2
Here is a relaxed TlVPd2S crystal from Alexandria. Energies are from GGA-PBE.

Lattice parameters (Å, degrees): 4.558 4.558 4.408 90.00 90.00 90.00
Element x y z (fractional)
Tl  0.000  0.000  0.000
V  0.500  0.500  0.000
Pd  0.000  0.500  0.500
Pd  0.500  0.000  0.500
S  0.500  0.500  0.500

Calculated values
energy: -5.245 eV/atom
D(E_F): 0.478 states/eV/atom
raw formation energy: -45 meV per atom
symmetry: P4/mmm (123)

# 3
Here is a relaxed TlZn2PdS crystal from Alexandria. Energies are from GGA-PBE.

Lattice parameters (Å, degrees): 4.813 4.813 5.258 90.00 90.00 90.00
Element x y z (fractional)
Tl  0.000  0.000  0.000
Zn  0.000  0.500  0.500
Zn  0.500  0.000  0.500
Pd  0.000  0.000  0.500
S  0.500  0.500  0.000

Calculated values
energy: -2.677 eV/atom
D(E_F): 0.610 states/eV/atom
raw formation energy: 170 meV per atom
symmetry: P4/mmm (123)

> D(E_F) of number 2 (TlVPd2S)?

0.478 states/eV/atom